# 1
Density functional theory data (GGA-PBE) for Pm5PrI12 after structural relaxation.

abc: 7.307 7.314 16.480
angles: 89.98 89.95 60.03
Sites, in units of the cell vectors:
I 0.166 0.000 0.623
I 0.662 0.338 0.124
I 0.000 0.338 0.876
I 0.338 0.662 0.876
I 0.500 0.333 0.623
I 0.167 0.333 0.377
I 0.338 0.000 0.124
I 0.833 0.667 0.623
I 0.662 0.000 0.876
I 0.834 0.000 0.377
I 0.000 0.662 0.124
I 0.500 0.667 0.377
Pm 0.167 0.666 0.500
Pm 0.667 0.666 0.000
Pm 0.333 0.334 0.000
Pm 0.833 0.334 0.500
Pm 0.500 0.000 0.500
Pr 0.000 0.000 0.000

Values from the calculation:
E_tot (eV per atom): -3.906
Size of the total moment (μB per cell): 0.00



# 2
Density functional theory data (GGA-PBE) for PmPr2I after structural relaxation.

abc: 3.848 3.848 11.150
angles: 80.06 80.06 60.00
Sites, in units of the cell vectors:
I 0.500 0.500 0.500
Pr 0.245 0.245 0.265
Pr 0.755 0.755 0.735
Pm 0.000 0.000 0.000

Values from the calculation:
Relative energy among the computed polymorphs (eV/f.u.): 0.00
Size of the total moment (μB per cell): 0.00



# 3
Density functional theory data (GGA-PBE) for Pm2PrI8 after structural relaxation.

abc: 7.415 9.480 9.480
angles: 76.76 88.48 88.48
Sites, in units of the cell vectors:
I 0.768 0.188 0.188
I 0.238 0.282 0.882
I 0.232 0.812 0.812
I 0.762 0.718 0.118
I 0.238 0.882 0.282
I 0.241 0.379 0.379
I 0.762 0.118 0.718
I 0.759 0.621 0.621
Pm 0.643 0.809 0.809
Pm 0.357 0.191 0.191
Pr 0.000 0.000 0.000

Values from the calculation:
E_tot (eV per atom): -3.665
Size of the total moment (μB per cell): 1.03



# 4
Density functional theory data (GGA-PBE) for PmPr2I6 after structural relaxation.

abc: 4.244 9.626 10.447
angles: 111.42 101.72 90.00
Sites, in units of the cell vectors:
I 0.338 0.410 0.675
I 0.998 0.755 0.996
I 0.335 0.911 0.671
I 0.662 0.590 0.325
I 0.002 0.245 0.004
I 0.665 0.089 0.329
Pm 0.500 0.000 0.000
Pr 0.174 0.351 0.347
Pr 0.826 0.649 0.653

Values from the calculation:
Relative energy among the computed polymorphs (eV/f.u.): 0.00
Size of the total moment (μB per cell): 0.00



# 5
Density functional theory data (GGA-PBE) for PmPrI after structural relaxation.

abc: 3.942 3.942 7.884
angles: 90.00 90.00 120.00
Sites, in units of the cell vectors:
Pm 0.333 0.667 0.653
Pr 0.000 0.000 0.010
I 0.667 0.333 0.337

Values from the calculation:
Relative energy among the computed polymorphs (eV/f.u.): 0.00
Size of the total moment (μB per cell): 0.44



# 6
Density functional theory data (GGA-PBE) for PmPr2I6 after structural relaxation.

abc: 4.126 8.485 12.015
angles: 78.06 80.11 75.93
Sites, in units of the cell vectors:
Pm 0.000 0.000 0.000
I 0.992 0.775 0.241
I 0.786 0.298 0.130
I 0.660 0.220 0.460
I 0.214 0.702 0.870
I 0.008 0.225 0.759
I 0.340 0.780 0.540
Pr 0.676 0.946 0.702
Pr 0.324 0.054 0.298

Values from the calculation:
Relative energy among the computed polymorphs (eV/f.u.): 0.44
Size of the total moment (μB per cell): 0.54



size of the total moment of number 3 (Pm2PrI8)? 1.03 μB per cell



Copy entry 5 word for word.
Density functional theory data (GGA-PBE) for PmPrI after structural relaxation.

abc: 3.942 3.942 7.884
angles: 90.00 90.00 120.00
Sites, in units of the cell vectors:
Pm 0.333 0.667 0.653
Pr 0.000 0.000 0.010
I 0.667 0.333 0.337

Values from the calculation:
Relative energy among the computed polymorphs (eV/f.u.): 0.00
Size of the total moment (μB per cell): 0.44



Among the records above, which one has the highest size of the total moment? Pm2PrI8



size of the total moment of number 5 (PmPrI)? 0.44 μB per cell